(1)
Material: WOF4
Method: DFT, GGA-PBEsol
State: relaxed

Cell and atoms, written as POSCAR:
```
WOF4
1.0
5.1381 -0.2592 -0.2421
-1.2269 5.9032 -0.0242
-0.5406 -1.4551 6.2489
O F W
2 8 2
Direct
0.6136 0.9862 0.7206 O
0.3864 0.0138 0.2794 O
0.3568 0.5541 0.2830 F
0.1594 0.1742 0.8924 F
0.9850 0.2534 0.5252 F
0.6432 0.4459 0.7170 F
0.0150 0.7466 0.4748 F
0.8406 0.8258 0.1076 F
0.8320 0.3733 0.0806 F
0.1680 0.6267 0.9194 F
0.8530 0.2513 0.7796 W
0.1470 0.7487 0.2204 W
```

Calculated values
spin magnetization = 0.0030 μB/atom
density of states at the Fermi level = 0.0 states/eV/f.u.
E_form (uncorrected) = -2.52 eV per atom
ρ = 4.9 Mg/m³
uncorrected energy = -6.985 eV per atom
distance to the lowest polymorph of the same formula = 0.049 eV per atom
SG = P-1, No. 2

---

(2)
Material: Li2AgPd2
Method: DFT, GGA-PBEsol
State: relaxed

Cell and atoms, written as POSCAR:
```
Li2AgPd2
1.0
2.8464 0.0000 0.0000
0.0000 7.0743 0.0000
0.0000 0.0000 7.0743
Pd Li Ag
4 4 2
Direct
0.0000 0.1346 0.3654 Pd
0.0000 0.8654 0.6346 Pd
0.0000 0.3654 0.8654 Pd
0.0000 0.6346 0.1346 Pd
0.5000 0.6639 0.8361 Li
0.5000 0.8361 0.3361 Li
0.5000 0.3361 0.1639 Li
0.5000 0.1639 0.6639 Li
0.0000 0.0000 0.0000 Ag
0.0000 0.5000 0.5000 Ag
```

Calculated values
spin magnetization = 0.0000 μB/atom
density of states at the Fermi level = 1.3 states/eV/f.u.
ρ = 7.8 Mg/m³
energy relative to the elements = -0.2028 eV/atom
uncorrected energy = -4.035 eV per atom
SG = P4/mbm, No. 127

---

(3)
Material: CsTlGe3
Method: DFT, GGA-PBEsol
State: relaxed

Cell and atoms, written as POSCAR:
```
CsTlGe3
1.0
-1.8188 3.8770 -3.6840
-5.3343 -1.0351 1.5443
0.3849 3.9760 3.9943
Ge Cs Tl
3 1 1
Direct
0.0000 0.0000 0.5000 Ge
0.5000 0.0000 0.0000 Ge
0.0000 0.5000 0.0000 Ge
0.0000 0.0000 0.0000 Cs
0.5000 0.5000 0.5000 Tl
```

Calculated values
spin magnetization = 0.0002 μB/atom
density of states at the Fermi level = 3.2 states/eV/f.u.
ρ = 5.1 Mg/m³
energy relative to the elements = 1.5561 eV/atom
uncorrected energy = -2.122 eV per atom
SG = Pm-3m, No. 221

---

(4)
Material: CSe2
Method: DFT, GGA-PBEsol
State: relaxed

Cell and atoms, written as POSCAR:
```
CSe2
1.0
-0.3038 -1.1623 2.8020
2.3843 -1.3146 1.3717
2.2628 4.5059 3.7730
C Se
1 2
Direct
0.0000 0.0000 0.0000 C
0.7425 0.7425 0.7724 Se
0.2575 0.2575 0.2276 Se
```

Calculated values
spin magnetization = 0.0000 μB/atom
density of states at the Fermi level = 1.6 states/eV/f.u.
E_form (uncorrected) = 1.30 eV per atom
ρ = 5.8 Mg/m³
uncorrected energy = -4.482 eV per atom
distance to the lowest polymorph of the same formula = 0.000 eV per atom
SG = R-3m, No. 166

---

(5)
Material: Mo2PRu
Method: DFT, GGA-PBEsol
State: relaxed

Cell and atoms, written as POSCAR:
```
Mo2PRu
1.0
2.8048 0.0000 0.0000
0.0000 4.7281 -0.0061
0.0000 -2.2117 4.1789
Mo Ru P
2 1 1
Direct
0.0000 0.5000 0.0000 Mo
0.0000 0.0000 0.5000 Mo
0.5000 0.0000 0.0000 Ru
0.5000 0.5000 0.5000 P
```

Calculated values
spin magnetization = 0.0000 μB/atom
density of states at the Fermi level = 2.6 states/eV/f.u.
ρ = 9.7 Mg/m³
energy relative to the elements = -0.0351 eV/atom
uncorrected energy = -9.910 eV per atom
SG = Cmmm, No. 65

---

(6)
Material: FeSn2HgF
Method: DFT, GGA-PBEsol
State: relaxed

Cell and atoms, written as POSCAR:
```
FeSn2HgF
1.0
4.6424 0.0000 0.0000
0.0000 4.6424 0.0000
0.0000 0.0000 4.9693
Sn Fe Hg F
2 1 1 1
Direct
0.5000 0.0000 0.0000 Sn
0.0000 0.5000 0.0000 Sn
0.5000 0.5000 0.5000 Fe
0.0000 0.0000 0.5000 Hg
0.0000 0.0000 0.0000 F
```

Calculated values
spin magnetization = 0.6311 μB/atom
density of states at the Fermi level = 4.3 states/eV/f.u.
E_form (uncorrected) = 0.17 eV per atom
ρ = 8.0 Mg/m³
uncorrected energy = -3.827 eV per atom
SG = P4/mmm, No. 123

---

(7)
Material: CuSeBr3
Method: DFT, GGA-PBEsol
State: relaxed

Cell and atoms, written as POSCAR:
```
CuSeBr3
1.0
-2.9061 3.6650 2.2918
-3.5958 -0.5172 -3.7326
-2.3988 -3.6647 2.8187
Cu Br Se
1 3 1
Direct
0.5000 0.5000 0.5000 Cu
0.0000 0.0000 0.5000 Br
0.5000 0.0000 0.0000 Br
0.0000 0.5000 0.0000 Br
0.0000 0.0000 0.0000 Se
```

Calculated values
spin magnetization = 0.0305 μB/atom
density of states at the Fermi level = 2.5 states/eV/f.u.
E_form (uncorrected) = 0.45 eV per atom
ρ = 4.5 Mg/m³
uncorrected energy = -2.310 eV per atom
SG = Pm-3m, No. 221

---

(8)
Material: Li4CrCo3O8
Method: DFT, GGA-PBEsol
State: relaxed

Cell and atoms, written as POSCAR:
```
Li4CrCo3O8
1.0
5.6468 0.0000 0.0000
2.8234 4.8902 0.0000
2.8234 1.6301 4.6538
Co Li O Cr
3 4 8 1
Direct
0.5000 0.5000 0.0000 Co
0.5000 0.0000 0.0000 Co
0.0000 0.5000 0.0000 Co
0.0000 0.5000 0.5000 Li
0.0000 0.0000 0.5000 Li
0.5000 0.0000 0.5000 Li
0.5000 0.5000 0.5000 Li
0.2439 0.7353 0.7769 O
0.2439 0.2439 0.7769 O
0.2618 0.2618 0.2145 O
0.7382 0.7382 0.7855 O
0.7561 0.7561 0.2231 O
0.2647 0.7561 0.2231 O
0.7561 0.2647 0.2231 O
0.7353 0.2439 0.7769 O
0.0000 0.0000 0.0000 Cr
```

Calculated values
spin magnetization = 0.1859 μB/atom
E_form (uncorrected) = -1.65 eV per atom
ρ = 5.0 Mg/m³
uncorrected energy = -6.853 eV per atom
SG = R-3m, No. 166

---

(9)
Material: Zr2Tc
Method: DFT, GGA-PBEsol
State: relaxed

Cell and atoms, written as POSCAR:
```
Zr2Tc
1.0
-0.8570 -2.0397 2.4129
2.5521 1.0270 1.7746
-3.8156 4.2440 0.0114
Zr Tc
2 1
Direct
0.8504 0.8504 0.7009 Zr
0.1496 0.1496 0.2991 Zr
0.5000 0.5000 0.0000 Tc
```

Calculated values
spin magnetization = 0.0002 μB/atom
density of states at the Fermi level = 3.6 states/eV/f.u.
ρ = 8.3 Mg/m³
energy relative to the elements = -0.2533 eV/atom
uncorrected energy = -10.069 eV per atom
distance to the lowest polymorph of the same formula = 0.011 eV per atom
SG = I4/mmm, No. 139

---

(10)
Material: ReAg4Pb
Method: DFT, GGA-PBEsol
State: relaxed

Cell and atoms, written as POSCAR:
```
ReAg4Pb
1.0
5.3849 0.0000 0.0000
2.6924 4.6634 0.0000
2.6924 1.5545 4.3967
Ag Re Pb
4 1 1
Direct
0.3744 0.8769 0.3744 Ag
0.3744 0.3744 0.8769 Ag
0.3744 0.3744 0.3744 Ag
0.8769 0.3744 0.3744 Ag
0.0000 0.0000 0.0000 Re
0.7500 0.7500 0.7500 Pb
```

Calculated values
spin magnetization = 0.4249 μB/atom
density of states at the Fermi level = 5.0 states/eV/f.u.
ρ = 12.4 Mg/m³
energy relative to the elements = 0.8023 eV/atom
uncorrected energy = -4.294 eV per atom
SG = F-43m, No. 216

---

(11)
Material: IrRhI2N
Method: DFT, GGA-PBEsol
State: relaxed

Cell and atoms, written as POSCAR:
```
IrRhI2N
1.0
-1.7357 -3.0177 0.7351
2.6926 -2.4858 -3.8466
3.7760 -1.3202 3.4964
I N Ir Rh
2 1 1 1
Direct
0.0000 0.0000 0.5000 I
0.0000 0.5000 0.0000 I
0.5000 0.0000 0.0000 N
0.5000 0.5000 0.5000 Ir
0.0000 0.0000 0.0000 Rh
```

Calculated values
spin magnetization = 0.0003 μB/atom
density of states at the Fermi level = 3.8 states/eV/f.u.
E_form (uncorrected) = 1.05 eV per atom
ρ = 9.3 Mg/m³
uncorrected energy = -4.959 eV per atom
distance to the lowest polymorph of the same formula = 0.223 eV per atom
SG = P4/mmm, No. 123

---

(12)
Material: ScAgTe2
Method: DFT, GGA-PBEsol
State: relaxed

Cell and atoms, written as POSCAR:
```
ScAgTe2
1.0
-3.1461 -2.0749 5.1411
4.5492 -4.3448 1.0304
2.4888 7.4159 0.5641
Te Sc Ag
4 2 2
Direct
0.3730 0.8750 0.2500 Te
0.8770 0.3750 0.2500 Te
0.6250 0.6270 0.7500 Te
0.1250 0.1230 0.7500 Te
0.7500 0.2500 0.5000 Sc
0.5000 0.5000 0.0000 Sc
0.2500 0.7500 0.5000 Ag
0.0000 0.0000 0.0000 Ag
```

Calculated values
spin magnetization = 0.0000 μB/atom
E_form (uncorrected) = -0.59 eV per atom
ρ = 5.2 Mg/m³
uncorrected energy = -4.827 eV per atom
SG = I-42d, No. 122

---

Among the records above, which one has the lowest ρ? CuSeBr3

---

The lowest uncorrected energy belongs to which entry? Zr2Tc

---

What is the spin magnetization in the tenth record? 0.4249 μB/atom

---

Among the records above, which one has the highest spin magnetization? FeSn2HgF